DyY2Ag: relaxed, PBE-GGA.

Values from the calculation:
VASP energy (eV/atom): -5.0878
Energy above the lowest structure with this stoichiometry (eV/atom): 0.139
ΔE_f (meV/atom): 8
Symmetry: No. 123

Cell lengths 3.746, 5.440, 5.440 Å; angles 90.00, 90.00, 90.00 degrees
Sites, in units of the cell vectors:
Y  0.000  0.000  0.500
Y  0.000  0.500  0.000
Ag  0.500  0.000  0.000
Dy  0.500  0.500  0.500